Record 1
# BaAcPtO6 | Alexandria | PBE | relaxed
data_BaAcPtO6
_chemical_formula_sum 'Ba2 Ac2 Pt2 O12'
_symmetry_space_group_name_H-M 'P -3 1 c'
_symmetry_Int_Tables_number 163
_symmetry_space_group_name_Hall '-P 3 2c'
_cell_length_a 5.9769
_cell_length_b 5.9769
_cell_length_c 10.7538
_cell_angle_alpha 90.00
_cell_angle_beta 90.00
_cell_angle_gamma 120.00
loop_
_atom_site_label
_atom_site_type_symbol
_atom_site_fract_x
_atom_site_fract_y
_atom_site_fract_z
Ba1 Ba 0.0000 0.0000 0.0000
Ac1 Ac 0.3333 0.6667 0.2500
Pt1 Pt 0.3333 0.6667 0.7500
O1 O 0.0603 0.3972 0.6466
# E ... -6.254 eV per atom
# Formation energy without anion corrections ... -1607 meV/atom

---

Record 2
# BaAcPtO4 | Alexandria | PBE | relaxed
data_BaAcPtO4
_chemical_formula_sum 'Ba4 Ac4 Pt4 O16'
_symmetry_space_group_name_H-M 'I m m a'
_symmetry_Int_Tables_number 74
_symmetry_space_group_name_Hall '-I 2b 2'
_cell_length_a 6.556
_cell_length_b 7.655
_cell_length_c 11.526
_cell_angle_alpha 90.00
_cell_angle_beta 90.00
_cell_angle_gamma 90.00
loop_
_atom_site_label
_atom_site_type_symbol
_atom_site_fract_x
_atom_site_fract_y
_atom_site_fract_z
Ba1 Ba 0.000 0.250 0.194
Ac1 Ac 0.000 0.000 0.500
Pt1 Pt 0.250 0.250 0.750
O1 O 0.000 0.092 0.727
O2 O 0.204 0.250 0.433
# E ... -6.494 eV per atom
# Formation energy without anion corrections ... -1936 meV/atom

---

Record 3
# BaAcPt2O8 | Alexandria | PBE | relaxed
data_BaAcPt2O8
_chemical_formula_sum 'Ba1 Ac1 Pt2 O8'
_symmetry_space_group_name_H-M 'P -3'
_symmetry_Int_Tables_number 147
_cell_length_a 6.1046
_cell_length_b 6.1046
_cell_length_c 8.0618
_cell_angle_alpha 90.00
_cell_angle_beta 90.00
_cell_angle_gamma 120.00
loop_
_symmetry_equiv_pos_as_xyz
'x,y,z'
'-x,-y,-z'
'-y,x-y,z'
'y,-x+y,-z'
'-x+y,-x,z'
'x-y,x,-z'
loop_
_atom_site_label
_atom_site_type_symbol
_atom_site_fract_x
_atom_site_fract_y
_atom_site_fract_z
Ba1 Ba 0.0000 0.0000 0.0000
Ac1 Ac 0.0000 0.0000 0.5000
Pt1 Pt 0.3333 0.6667 0.7871
O1 O 0.1584 0.3224 0.7185
O2 O 0.3333 0.6667 0.0163
# E ... -5.843 eV per atom
# Formation energy without anion corrections ... -1028 meV/atom

---

Record 4
# Ba3Ac3PtO8 | Alexandria | PBE | relaxed
data_Ba3Ac3PtO8
_chemical_formula_sum 'Ba6 Ac6 Pt2 O16'
_symmetry_space_group_name_H-M 'C 1 2/m 1'
_symmetry_Int_Tables_number 12
_cell_length_a 12.781
_cell_length_b 7.762
_cell_length_c 7.674
_cell_angle_alpha 90.00
_cell_angle_beta 125.67
_cell_angle_gamma 90.00
loop_
_symmetry_equiv_pos_as_xyz
'x,y,z'
'-x,-y,-z'
'-x,y,-z'
'x,-y,z'
'x+1/2,y+1/2,z'
'-x+1/2,-y+1/2,-z'
'-x+1/2,y+1/2,-z'
'x+1/2,-y+1/2,z'
loop_
_atom_site_label
_atom_site_type_symbol
_atom_site_fract_x
_atom_site_fract_y
_atom_site_fract_z
Ba1 Ba 0.000 0.000 0.000
Ba2 Ba 0.250 0.250 0.000
Ac1 Ac 0.000 0.500 0.500
Ac2 Ac 0.250 0.250 0.500
Pt1 Pt 0.000 0.000 0.500
O1 O 0.014 0.282 0.264
O2 O 0.207 0.000 0.683
O3 O 0.245 0.500 0.730
# E ... -6.599 eV per atom
# Formation energy without anion corrections ... -2346 meV/atom

---

Record 5
# BaAc2PtO6 | Alexandria | PBE | relaxed
data_BaAc2PtO6
_chemical_formula_sum 'Ba2 Ac4 Pt2 O12'
_symmetry_space_group_name_H-M 'P 1 21/c 1'
_symmetry_Int_Tables_number 14
_cell_length_a 5.875
_cell_length_b 6.540
_cell_length_c 10.569
_cell_angle_alpha 90.00
_cell_angle_beta 123.53
_cell_angle_gamma 90.00
loop_
_symmetry_equiv_pos_as_xyz
'x,y,z'
'-x,-y,-z'
'-x,y+1/2,-z+1/2'
'x,-y+1/2,z+1/2'
loop_
_atom_site_label
_atom_site_type_symbol
_atom_site_fract_x
_atom_site_fract_y
_atom_site_fract_z
Ba1 Ba 0.000 0.000 0.000
Ac1 Ac 0.215 0.043 0.729
Pt1 Pt 0.500 0.000 0.500
O1 O 0.174 0.157 0.474
O2 O 0.243 0.745 0.401
O3 O 0.408 0.096 0.289
# E ... -6.914 eV per atom
# Formation energy without anion corrections ... -2321 meV/atom

---

Record 6
# BaAcPuO6 | Alexandria | PBE | relaxed
data_BaAcPuO6
_chemical_formula_sum 'Ba2 Ac2 Pu2 O12'
_symmetry_space_group_name_H-M 'P -3 1 c'
_symmetry_Int_Tables_number 163
_symmetry_space_group_name_Hall '-P 3 2c'
_cell_length_a 6.2487
_cell_length_b 6.2487
_cell_length_c 10.2857
_cell_angle_alpha 90.00
_cell_angle_beta 90.00
_cell_angle_gamma 120.00
loop_
_atom_site_label
_atom_site_type_symbol
_atom_site_fract_x
_atom_site_fract_y
_atom_site_fract_z
Ba1 Ba 0.0000 0.0000 0.0000
Ac1 Ac 0.3333 0.6667 0.2500
Pu1 Pu 0.3333 0.6667 0.7500
O1 O 0.0555 0.3994 0.6439
# E ... -8.376 eV per atom
# Formation energy without anion corrections ... -2808 meV/atom

---

Record 7
# Ba2AcPuO6 | Alexandria | PBE | relaxed
data_Ba2AcPuO6
_chemical_formula_sum 'Ba4 Ac2 Pu2 O12'
_symmetry_space_group_name_H-M 'P 1 21/c 1'
_symmetry_Int_Tables_number 14
_cell_length_a 6.355
_cell_length_b 6.413
_cell_length_c 10.987
_cell_angle_alpha 90.00
_cell_angle_beta 124.88
_cell_angle_gamma 90.00
loop_
_symmetry_equiv_pos_as_xyz
'x,y,z'
'-x,-y,-z'
'-x,y+1/2,-z+1/2'
'x,-y+1/2,z+1/2'
loop_
_atom_site_label
_atom_site_type_symbol
_atom_site_fract_x
_atom_site_fract_y
_atom_site_fract_z
Ba1 Ba 0.240 0.033 0.250
Ac1 Ac 0.500 0.000 0.000
Pu1 Pu 0.000 0.000 0.500
O1 O 0.143 0.231 0.948
O2 O 0.221 0.697 0.955
O3 O 0.320 0.030 0.731
# E ... -8.175 eV per atom
# Formation energy without anion corrections ... -2972 meV/atom

---

Record 8
# BaAcPuO4 | Alexandria | PBE | relaxed
data_BaAcPuO4
_chemical_formula_sum 'Ba2 Ac2 Pu2 O8'
_symmetry_space_group_name_H-M 'I 4 m m'
_symmetry_Int_Tables_number 107
_symmetry_space_group_name_Hall 'I 4 -2'
_cell_length_a 3.945
_cell_length_b 3.945
_cell_length_c 17.514
_cell_angle_alpha 90.00
_cell_angle_beta 90.00
_cell_angle_gamma 90.00
loop_
_atom_site_label
_atom_site_type_symbol
_atom_site_fract_x
_atom_site_fract_y
_atom_site_fract_z
Ba1 Ba 0.000 0.000 0.000
Ac1 Ac 0.000 0.000 0.308
Pu1 Pu 0.000 0.000 0.660
O1 O 0.000 0.000 0.528
O2 O 0.000 0.000 0.858
O3 O 0.000 0.500 0.218
# E ... -8.575 eV per atom
# Formation energy without anion corrections ... -2833 meV/atom

---

Record 9
# BaAc2PuO8 | Alexandria | PBE | relaxed
data_BaAc2PuO8
_chemical_formula_sum 'Ba1 Ac2 Pu1 O8'
_symmetry_space_group_name_H-M 'P 1 2/m 1'
_symmetry_Int_Tables_number 10
_cell_length_a 4.459
_cell_length_b 8.138
_cell_length_c 5.652
_cell_angle_alpha 90.00
_cell_angle_beta 96.96
_cell_angle_gamma 90.00
loop_
_symmetry_equiv_pos_as_xyz
'x,y,z'
'-x,-y,-z'
'-x,y,-z'
'x,-y,z'
loop_
_atom_site_label
_atom_site_type_symbol
_atom_site_fract_x
_atom_site_fract_y
_atom_site_fract_z
Ba1 Ba 0.000 0.000 0.000
Ac1 Ac 0.500 0.261 0.500
Pu1 Pu 0.000 0.500 0.000
O1 O 0.061 0.310 0.771
O2 O 0.399 0.500 0.204
O3 O 0.479 0.000 0.720
# E ... -8.076 eV per atom
# Formation energy without anion corrections ... -2731 meV/atom

---

Record 10
# RbBa3Ac2O6 | Alexandria | PBE | relaxed
data_RbBa3Ac2O6
_chemical_formula_sum 'Rb2 Ba6 Ac4 O12'
_symmetry_space_group_name_H-M 'C 1 2/m 1'
_symmetry_Int_Tables_number 12
_cell_length_a 16.930
_cell_length_b 3.919
_cell_length_c 7.919
_cell_angle_alpha 90.00
_cell_angle_beta 103.24
_cell_angle_gamma 90.00
loop_
_symmetry_equiv_pos_as_xyz
'x,y,z'
'-x,-y,-z'
'-x,y,-z'
'x,-y,z'
'x+1/2,y+1/2,z'
'-x+1/2,-y+1/2,-z'
'-x+1/2,y+1/2,-z'
'x+1/2,-y+1/2,z'
loop_
_atom_site_label
_atom_site_type_symbol
_atom_site_fract_x
_atom_site_fract_y
_atom_site_fract_z
Rb1 Rb 0.000 0.000 0.000
Ba1 Ba 0.000 0.000 0.500
Ba2 Ba 0.162 0.500 0.838
Ac1 Ac 0.166 0.500 0.330
O1 O 0.019 0.500 0.280
O2 O 0.175 0.000 0.561
O3 O 0.178 0.000 0.117
# E ... -6.216 eV per atom
# Formation energy without anion corrections ... -2491 meV/atom

---

Record 11
# Rb2BaAcO4 | Alexandria | PBE | relaxed
data_Rb2BaAcO4
_chemical_formula_sum 'Rb2 Ba1 Ac1 O4'
_symmetry_space_group_name_H-M 'P 1 2/m 1'
_symmetry_Int_Tables_number 10
_cell_length_a 6.777
_cell_length_b 3.979
_cell_length_c 6.978
_cell_angle_alpha 90.00
_cell_angle_beta 107.43
_cell_angle_gamma 90.00
loop_
_symmetry_equiv_pos_as_xyz
'x,y,z'
'-x,-y,-z'
'-x,y,-z'
'x,-y,z'
loop_
_atom_site_label
_atom_site_type_symbol
_atom_site_fract_x
_atom_site_fract_y
_atom_site_fract_z
Rb1 Rb 0.000 0.000 0.000
Rb2 Rb 0.500 0.500 0.000
Ba1 Ba 0.000 0.500 0.500
Ac1 Ac 0.500 0.000 0.500
O1 O 0.262 0.000 0.696
O2 O 0.283 0.500 0.305
# E ... -5.547 eV per atom
# Formation energy without anion corrections ... -2072 meV/atom

---

Record 12
# Ba2AcRe3O12 | Alexandria | PBE | relaxed
data_Ba2AcRe3O12
_chemical_formula_sum 'Ba6 Ac3 Re9 O36'
_symmetry_space_group_name_H-M 'R -3 m'
_symmetry_Int_Tables_number 166
_symmetry_space_group_name_Hall '-R 3 2"'
_cell_length_a 7.4964
_cell_length_b 7.4964
_cell_length_c 16.5220
_cell_angle_alpha 90.00
_cell_angle_beta 90.00
_cell_angle_gamma 120.00
loop_
_atom_site_label
_atom_site_type_symbol
_atom_site_fract_x
_atom_site_fract_y
_atom_site_fract_z
Ba1 Ba 0.0000 0.0000 0.1112
Ac1 Ac 0.0000 0.0000 0.5000
Re1 Re 0.0000 0.5000 0.0000
O1 O 0.0505 0.5252 0.8890
O2 O 0.0798 0.5399 0.3129
# E ... -7.968 eV per atom
# Formation energy without anion corrections ... -2146 meV/atom